Record 1
# CrReNi14

CrReNi14 after structural relaxation (PBE, the Alexandria database).

The structure in extended XYZ format:
```
16
Lattice="5.033 0.000 0.000 0.000 5.033 0.000 0.000 0.000 7.053" Properties=species:S:1:pos:R:3 pbc="T T T"
Cr 0.000 0.000 0.000
Re 2.517 2.517 0.000
Ni 0.000 0.000 3.526
Ni 0.000 2.517 0.000
Ni 0.000 2.517 3.526
Ni 1.255 1.255 1.769
Ni 1.255 1.255 5.284
Ni 1.255 3.778 1.769
Ni 1.255 3.778 5.284
Ni 2.517 0.000 0.000
Ni 2.517 0.000 3.526
Ni 2.517 2.517 3.526
Ni 3.778 1.255 1.769
Ni 3.778 1.255 5.284
Ni 3.778 3.778 1.769
Ni 3.778 3.778 5.284
```

As for the space group: P4/mmm, No. 123. As for the final energy: -6.43 eV/atom. For the theoretical density, the calculation gives 9.85 g/cm³. The total magnetization is 1.140 μB/f.u.

---

Record 2
# CoMoRu3

CoMoRu3 after structural relaxation (PBE, the Alexandria database).

The structure in extended XYZ format:
```
5
Lattice="4.363 0.000 0.000 0.000 4.363 0.000 0.000 0.000 4.363" Properties=species:S:1:pos:R:3 pbc="T T T"
Co 0.000 0.000 0.000
Mo 2.181 2.181 2.181
Ru 0.000 0.000 2.181
Ru 0.000 2.181 0.000
Ru 2.181 0.000 0.000
```

As for the space group: Pm-3m, No. 221. As for the offset from the most stable computed form: 0 meV/atom. As for the final energy: -7.69 eV/atom. For the theoretical density, the calculation gives 9.16 g/cm³. The total magnetization is 2.959 μB/f.u.

---

Record 3
# Ce4InHg2

Ce4InHg2 after structural relaxation (PBE, the Alexandria database).

The structure in extended XYZ format:
```
14
Lattice="3.201 0.000 0.000 0.000 35.881 0.000 0.000 0.000 3.184" Properties=species:S:1:pos:R:3 pbc="T T T"
Ce 0.000 2.532 0.000
Ce 0.000 12.732 1.592
Ce 0.000 23.149 1.592
Ce 0.000 33.349 0.000
Ce 1.601 5.209 1.592
Ce 1.601 15.409 0.000
Ce 1.601 20.473 0.000
Ce 1.601 30.672 1.592
In 0.000 17.941 1.592
In 1.601 0.000 1.592
Hg 0.000 7.683 0.000
Hg 0.000 28.199 0.000
Hg 1.601 10.258 0.000
Hg 1.601 25.623 0.000
```

As for the space group: Cmmm, No. 65. As for the offset from the most stable computed form: 34 meV/atom. As for the final energy: -3.97 eV/atom. For the theoretical density, the calculation gives 9.78 g/cm³. The total magnetization is 0.969 μB/f.u.

---

Record 4
# Ba2SrMn

Ba2SrMn after structural relaxation (PBE, the Alexandria database).

The structure in extended XYZ format:
```
8
Lattice="5.730 0.000 0.000 0.000 5.730 0.000 0.000 0.000 11.082" Properties=species:S:1:pos:R:3 pbc="T T T"
Ba 0.000 2.865 2.770
Ba 0.000 2.865 8.311
Ba 2.865 0.000 2.770
Ba 2.865 0.000 8.311
Sr 0.000 0.000 0.000
Sr 2.865 2.865 5.541
Mn 0.000 0.000 5.541
Mn 2.865 2.865 0.000
```

As for the space group: I4/mmm, No. 139. As for the offset from the most stable computed form: 172 meV/atom. As for the final energy: -3.18 eV/atom. For the theoretical density, the calculation gives 3.81 g/cm³. The total magnetization is 3.992 μB/f.u.

---

Record 5
# Tb4HoAl2

Tb4HoAl2 after structural relaxation (PBE, the Alexandria database).

The structure in extended XYZ format:
```
14
Lattice="6.003 0.000 0.000 0.000 10.349 0.000 -2.396 0.000 6.383" Properties=species:S:1:pos:R:3 pbc="T T T"
Tb 0.018 2.156 0.007
Tb -1.180 3.018 3.198
Tb 2.979 6.824 0.002
Tb 1.781 8.700 3.193
Tb 1.826 1.649 3.190
Tb 0.628 3.525 6.382
Tb 4.787 7.331 3.185
Tb 3.589 8.193 6.376
Ho 3.001 0.000 0.000
Ho 1.804 5.175 3.192
Al -0.686 0.006 2.024
Al -1.884 5.168 5.216
Al 5.491 5.181 1.167
Al 4.293 10.343 4.359
```

As for the space group: P2_1/c, No. 14. As for the offset from the most stable computed form: 0 meV/atom. As for the final energy: -4.45 eV/atom. For the theoretical density, the calculation gives 7.16 g/cm³. The total magnetization is 0.000 μB/f.u.

---

Record 6
# TcPbS2

TcPbS2 after structural relaxation (PBE, the Alexandria database).

The structure in extended XYZ format:
```
16
Lattice="6.281 0.000 0.000 0.000 6.281 0.000 0.000 0.000 10.093" Properties=species:S:1:pos:R:3 pbc="T T T"
Tc 0.000 0.000 0.000
Tc 0.000 3.140 2.523
Tc 3.140 0.000 7.570
Tc 3.140 3.140 5.046
Pb 0.000 0.000 5.046
Pb 0.000 3.140 7.570
Pb 3.140 0.000 2.523
Pb 3.140 3.140 0.000
S 1.026 1.570 1.262
S 1.570 4.166 3.785
S 1.570 5.255 8.831
S 2.114 1.570 6.308
S 4.166 4.710 6.308
S 4.710 1.026 8.831
S 4.710 2.114 3.785
S 5.255 4.710 1.262
```

As for the space group: I-42d, No. 122. As for the final energy: -5.70 eV/atom. The value obtained for the uncorrected formation energy is -0.1172 eV/atom. For the theoretical density, the calculation gives 6.16 g/cm³. The total magnetization is 0.000 μB/f.u.

---

Record 7
# CdIn5Sn2

CdIn5Sn2 after structural relaxation (PBE, the Alexandria database).

The structure in extended XYZ format:
```
16
Lattice="7.029 0.000 0.000 0.000 14.048 0.000 0.000 0.000 4.329" Properties=species:S:1:pos:R:3 pbc="T T T"
Cd 0.000 0.000 0.000
Cd 3.515 7.024 0.000
In 0.000 7.024 0.000
In 0.028 3.557 0.000
In 1.729 1.733 2.164
In 1.785 8.757 2.164
In 3.487 10.581 0.000
In 3.515 0.000 0.000
In 3.542 3.467 0.000
In 5.244 5.292 2.164
In 5.300 12.316 2.164
In 7.001 10.492 0.000
Sn 1.665 12.335 2.164
Sn 1.850 5.311 2.164
Sn 5.179 8.738 2.164
Sn 5.364 1.714 2.164
```

As for the space group: Pbam, No. 55. As for the final energy: -2.80 eV/atom. For the theoretical density, the calculation gives 7.18 g/cm³. The total magnetization is 0.000 μB/f.u.

---

Record 8
# Na2Ag2Hg

Na2Ag2Hg after structural relaxation (PBE, the Alexandria database).

The structure in extended XYZ format:
```
10
Lattice="8.857 0.000 0.000 0.000 8.857 0.000 0.000 0.000 3.086" Properties=species:S:1:pos:R:3 pbc="T T T"
Na 1.588 2.841 0.000
Na 2.841 7.269 0.000
Na 6.017 1.588 0.000
Na 7.269 6.017 0.000
Ag 1.002 5.430 1.543
Ag 3.427 1.002 1.543
Ag 5.430 7.856 1.543
Ag 7.856 3.427 1.543
Hg 0.000 0.000 0.000
Hg 4.429 4.429 0.000
```

As for the space group: P4/mbm, No. 127. As for the offset from the most stable computed form: 133 meV/atom. As for the final energy: -1.68 eV/atom. For the theoretical density, the calculation gives 6.34 g/cm³. The total magnetization is 0.000 μB/f.u.

---

final energy of number 8 (Na2Ag2Hg)?
-1.68 eV/atom

---

Copy entry 5 word for word.
# Tb4HoAl2

Tb4HoAl2 after structural relaxation (PBE, the Alexandria database).

The structure in extended XYZ format:
```
14
Lattice="6.003 0.000 0.000 0.000 10.349 0.000 -2.396 0.000 6.383" Properties=species:S:1:pos:R:3 pbc="T T T"
Tb 0.018 2.156 0.007
Tb -1.180 3.018 3.198
Tb 2.979 6.824 0.002
Tb 1.781 8.700 3.193
Tb 1.826 1.649 3.190
Tb 0.628 3.525 6.382
Tb 4.787 7.331 3.185
Tb 3.589 8.193 6.376
Ho 3.001 0.000 0.000
Ho 1.804 5.175 3.192
Al -0.686 0.006 2.024
Al -1.884 5.168 5.216
Al 5.491 5.181 1.167
Al 4.293 10.343 4.359
```

As for the space group: P2_1/c, No. 14. As for the offset from the most stable computed form: 0 meV/atom. As for the final energy: -4.45 eV/atom. For the theoretical density, the calculation gives 7.16 g/cm³. The total magnetization is 0.000 μB/f.u.

---

Number 1 is which compound?
CrReNi14

---

Please write out number 3 again, unchanged.
# Ce4InHg2

Ce4InHg2 after structural relaxation (PBE, the Alexandria database).

The structure in extended XYZ format:
```
14
Lattice="3.201 0.000 0.000 0.000 35.881 0.000 0.000 0.000 3.184" Properties=species:S:1:pos:R:3 pbc="T T T"
Ce 0.000 2.532 0.000
Ce 0.000 12.732 1.592
Ce 0.000 23.149 1.592
Ce 0.000 33.349 0.000
Ce 1.601 5.209 1.592
Ce 1.601 15.409 0.000
Ce 1.601 20.473 0.000
Ce 1.601 30.672 1.592
In 0.000 17.941 1.592
In 1.601 0.000 1.592
Hg 0.000 7.683 0.000
Hg 0.000 28.199 0.000
Hg 1.601 10.258 0.000
Hg 1.601 25.623 0.000
```

As for the space group: Cmmm, No. 65. As for the offset from the most stable computed form: 34 meV/atom. As for the final energy: -3.97 eV/atom. For the theoretical density, the calculation gives 9.78 g/cm³. The total magnetization is 0.969 μB/f.u.